(1)
{
  "formula": "HfFeSiW",
  "functional": "PBE",
  "state": "relaxed",
  "vol_a3_per_fu": 59.1,
  "dft_energy_ev_per_atom": -9.12,
  "polymorph_energy_mev_per_atom": 0,
  "lattice_angstrom": [[0.000, 3.092, 3.092], [3.092, 0.000, 3.092], [3.092, 3.092, 0.000]],
  "species": ["Hf", "Fe", "Si", "W"],
  "fractional_positions": [[0.000, 0.000, 0.000], [0.750, 0.750, 0.750], [0.500, 0.500, 0.500], [0.250, 0.250, 0.250]]
}

---

(2)
{
  "formula": "HfZnFeSi",
  "functional": "PBE",
  "state": "relaxed",
  "vol_a3_per_fu": 57.2,
  "dft_energy_ev_per_atom": -6.31,
  "polymorph_energy_mev_per_atom": 89,
  "lattice_angstrom": [[0.000, 3.059, 3.059], [3.059, 0.000, 3.059], [3.059, 3.059, 0.000]],
  "species": ["Hf", "Zn", "Fe", "Si"],
  "fractional_positions": [[0.000, 0.000, 0.000], [0.750, 0.750, 0.750], [0.500, 0.500, 0.500], [0.250, 0.250, 0.250]]
}

---

(3)
{
  "formula": "HfZnFeSi",
  "functional": "PBE",
  "state": "relaxed",
  "vol_a3_per_fu": 55.8,
  "dft_energy_ev_per_atom": -6.39,
  "polymorph_energy_mev_per_atom": 0,
  "lattice_angstrom": [[0.000, 3.033, 3.033], [3.033, 0.000, 3.033], [3.033, 3.033, 0.000]],
  "species": ["Hf", "Zn", "Fe", "Si"],
  "fractional_positions": [[0.000, 0.000, 0.000], [0.250, 0.250, 0.250], [0.750, 0.750, 0.750], [0.500, 0.500, 0.500]]
}

---

(4)
{
  "formula": "HfZrFeSi",
  "functional": "PBE",
  "state": "relaxed",
  "vol_a3_per_fu": 64.6,
  "dft_energy_ev_per_atom": -8.05,
  "polymorph_energy_mev_per_atom": 0,
  "lattice_angstrom": [[0.000, 3.185, 3.185], [3.185, 0.000, 3.185], [3.185, 3.185, 0.000]],
  "species": ["Hf", "Zr", "Fe", "Si"],
  "fractional_positions": [[0.000, 0.000, 0.000], [0.250, 0.250, 0.250], [0.750, 0.750, 0.750], [0.500, 0.500, 0.500]]
}

---

(5)
{
  "formula": "Hf2ZrFe4Si4",
  "functional": "PBE",
  "state": "relaxed",
  "vol_a3_per_fu": 154.9,
  "dft_energy_ev_per_atom": -8.27,
  "lattice_angstrom": [[-1.901, 3.220, 6.327], [1.901, -3.220, 6.327], [1.901, 3.220, -6.327]],
  "species": ["Hf", "Hf", "Zr", "Fe", "Fe", "Fe", "Fe", "Si", "Si", "Si", "Si"],
  "fractional_positions": [[0.127, 0.127, 0.000], [0.873, 0.873, 0.000], [0.500, 0.000, 0.500], [0.132, 0.325, 0.807], [0.483, 0.675, 0.807], [0.517, 0.325, 0.193], [0.868, 0.675, 0.193], [0.192, 0.500, 0.692], [0.281, 0.781, 0.500], [0.719, 0.219, 0.500], [0.808, 0.500, 0.308]]
}

---

(6)
{
  "formula": "Hf3Fe4Sn4",
  "functional": "PBE",
  "state": "relaxed",
  "vol_a3_per_fu": 192.0,
  "dft_energy_ev_per_atom": -7.40,
  "lattice_angstrom": [[8.146, 0.000, 0.000], [0.000, 8.852, 0.000], [0.000, 0.000, 10.650]],
  "species": ["Hf", "Hf", "Hf", "Hf", "Hf", "Hf", "Hf", "Hf", "Hf", "Hf", "Hf", "Hf", "Fe", "Fe", "Fe", "Fe", "Fe", "Fe", "Fe", "Fe", "Fe", "Fe", "Fe", "Fe", "Fe", "Fe", "Fe", "Fe", "Sn", "Sn", "Sn", "Sn", "Sn", "Sn", "Sn", "Sn", "Sn", "Sn", "Sn", "Sn", "Sn", "Sn", "Sn", "Sn"],
  "fractional_positions": [[0.050, 0.051, 0.134], [0.050, 0.449, 0.134], [0.051, 0.750, 0.551], [0.449, 0.250, 0.051], [0.450, 0.551, 0.634], [0.450, 0.949, 0.634], [0.550, 0.051, 0.366], [0.550, 0.449, 0.366], [0.551, 0.750, 0.949], [0.949, 0.250, 0.449], [0.950, 0.551, 0.866], [0.950, 0.949, 0.866], [0.130, 0.750, 0.264], [0.188, 0.750, 0.022], [0.201, 0.507, 0.402], [0.201, 0.993, 0.402], [0.299, 0.007, 0.902], [0.299, 0.493, 0.902], [0.312, 0.250, 0.522], [0.370, 0.250, 0.764], [0.630, 0.750, 0.236], [0.688, 0.750, 0.478], [0.701, 0.507, 0.098], [0.701, 0.993, 0.098], [0.799, 0.007, 0.598], [0.799, 0.493, 0.598], [0.812, 0.250, 0.978], [0.870, 0.250, 0.736], [0.116, 0.250, 0.918], [0.118, 0.069, 0.646], [0.118, 0.431, 0.646], [0.239, 0.750, 0.786], [0.261, 0.250, 0.286], [0.382, 0.569, 0.146], [0.382, 0.931, 0.146], [0.384, 0.750, 0.418], [0.616, 0.250, 0.582], [0.618, 0.069, 0.854], [0.618, 0.431, 0.854], [0.739, 0.750, 0.714], [0.761, 0.250, 0.214], [0.882, 0.569, 0.354], [0.882, 0.931, 0.354], [0.884, 0.750, 0.082]]
}

---

(7)
{
  "formula": "SrHf2Fe",
  "functional": "PBE",
  "state": "relaxed",
  "vol_a3_per_fu": 86.2,
  "dft_energy_ev_per_atom": -6.59,
  "lattice_angstrom": [[0.000, 3.505, 3.505], [3.505, 0.000, 3.505], [3.505, 3.505, 0.000]],
  "species": ["Sr", "Hf", "Hf", "Fe"],
  "fractional_positions": [[0.000, 0.000, 0.000], [0.500, 0.500, 0.500], [0.750, 0.750, 0.750], [0.250, 0.250, 0.250]]
}

---

(8)
{
  "formula": "SrHfFe",
  "functional": "PBE",
  "state": "relaxed",
  "vol_a3_per_fu": 70.9,
  "dft_energy_ev_per_atom": -5.84,
  "polymorph_energy_mev_per_atom": 0,
  "lattice_angstrom": [[0.000, 3.285, 3.285], [3.285, 0.000, 3.285], [3.285, 3.285, 0.000]],
  "species": ["Sr", "Hf", "Fe"],
  "fractional_positions": [[0.000, 0.000, 0.000], [0.500, 0.500, 0.500], [0.750, 0.750, 0.750]]
}

---

(9)
{
  "formula": "SrHfFe",
  "functional": "PBE",
  "state": "relaxed",
  "vol_a3_per_fu": 79.9,
  "dft_energy_ev_per_atom": -4.78,
  "polymorph_energy_mev_per_atom": 1065,
  "lattice_angstrom": [[0.000, 3.419, 3.419], [3.419, 0.000, 3.419], [3.419, 3.419, 0.000]],
  "species": ["Sr", "Hf", "Fe"],
  "fractional_positions": [[0.000, 0.000, 0.000], [0.250, 0.250, 0.250], [0.750, 0.750, 0.750]]
}

---

(10)
{
  "formula": "Hf2TaFe",
  "functional": "PBE",
  "state": "relaxed",
  "ef_ev_per_atom": 0.197,
  "vol_a3_per_fu": 69.8,
  "dft_energy_ev_per_atom": -9.82,
  "lattice_angstrom": [[0.000, 3.268, 3.268], [3.268, 0.000, 3.268], [3.268, 3.268, 0.000]],
  "species": ["Hf", "Hf", "Ta", "Fe"],
  "fractional_positions": [[0.000, 0.000, 0.000], [0.250, 0.250, 0.250], [0.500, 0.500, 0.500], [0.750, 0.750, 0.750]]
}

---

(11)
{
  "formula": "HfTaFe",
  "functional": "PBE",
  "state": "relaxed",
  "ef_ev_per_atom": 0.110,
  "vol_a3_per_fu": 54.9,
  "dft_energy_ev_per_atom": -9.93,
  "polymorph_energy_mev_per_atom": 0,
  "lattice_angstrom": [[0.000, 3.017, 3.017], [3.017, 0.000, 3.017], [3.017, 3.017, 0.000]],
  "species": ["Hf", "Ta", "Fe"],
  "fractional_positions": [[0.000, 0.000, 0.000], [0.500, 0.500, 0.500], [0.250, 0.250, 0.250]]
}

---

(12)
{
  "formula": "TbHfFe",
  "functional": "PBE",
  "state": "relaxed",
  "ef_ev_per_atom": 0.194,
  "vol_a3_per_fu": 64.5,
  "dft_energy_ev_per_atom": -7.44,
  "lattice_angstrom": [[0.000, 3.183, 3.183], [3.183, 0.000, 3.183], [3.183, 3.183, 0.000]],
  "species": ["Tb", "Hf", "Fe"],
  "fractional_positions": [[0.000, 0.000, 0.000], [0.500, 0.500, 0.500], [0.750, 0.750, 0.750]]
}